Entry from the Alexandria database: a relaxed structure of Tb3Mg3Co2 (PBE).

Values from the calculation:
Its total energy is -4.18 eV/atom. The calculation puts the total moment at 0.00 μB per cell.

Cell: 16.308 4.481 4.998 Å, 90.00 99.52 90.00°
Space group C2/m (No. 12)
Asymmetric unit:
Tb (0.000, 0.000, 0.000) (multiplicity 2)
Tb (0.171, 0.000, 0.588) (multiplicity 4)
Mg (0.000, 0.500, 0.500) (multiplicity 2)
Mg (0.137, 0.500, 0.076) (multiplicity 4)
Co (0.221, 0.000, 0.104) (multiplicity 4)